First-principles (PBE-GGA) data for a relaxed Na2RuSe2 crystal, as listed in the Alexandria database.

The calculation puts the formation energy without anion corrections at -357 meV per atom. As for the total magnetization: 3.80 Bohr magnetons per cell. The total DFT energy (no corrections) comes out at -4.1333 eV/atom.

The structure belongs to space group P4/mbm (No. 127); the cell edges are 6.728, 6.728 and 4.653 Å and the angles 90.00°, 90.00° and 90.00°. The asymmetric unit holds Na at (0.160, 0.340, 0.000), Ru at (0.000, 0.000, 0.500) and Se at (0.165, 0.665, 0.500).